Entry 1:
# Tb6TcTe2 (PBE, relaxed)
data_Tb6TcTe2
_cell_length_a 4.081
_cell_length_b 8.363
_cell_length_c 8.362
_cell_angle_alpha 120.00
_cell_angle_beta 90.00
_cell_angle_gamma 90.00
_symmetry_space_group_name_H-M 'P 1'
_symmetry_Int_Tables_number 1
loop_
_symmetry_equiv_pos_as_xyz
'x,y,z'
loop_
_atom_site_label
_atom_site_type_symbol
_atom_site_fract_x
_atom_site_fract_y
_atom_site_fract_z
Tb1 Tb 0.000 0.000 0.238
Tb2 Tb 0.000 0.762 0.762
Te1 Te 0.000 0.667 0.333
Tb3 Tb 0.000 0.238 0.000
Tb4 Tb 0.500 0.395 0.395
Tb5 Tb 0.500 0.605 0.000
Tb6 Tb 0.500 0.000 0.605
Te2 Te 0.000 0.333 0.667
Tc1 Tc 0.500 0.000 0.000
# Calculated total energy in eV per atom: -5.60
# Space-group type: P-62m
# Energy relative to the elements, uncorrected in eV/atom: -0.66

Entry 2:
# Tb3TcTe (PBE, relaxed)
data_Tb3TcTe
_cell_length_a 4.804
_cell_length_b 7.959
_cell_length_c 8.480
_cell_angle_alpha 112.36
_cell_angle_beta 90.00
_cell_angle_gamma 107.57
_symmetry_space_group_name_H-M 'P 1'
_symmetry_Int_Tables_number 1
loop_
_symmetry_equiv_pos_as_xyz
'x,y,z'
loop_
_atom_site_label
_atom_site_type_symbol
_atom_site_fract_x
_atom_site_fract_y
_atom_site_fract_z
Te1 Te 0.623 0.247 0.471
Tb1 Tb 0.761 0.522 0.260
Tb2 Tb 0.394 0.789 0.150
Tb3 Tb 0.606 0.211 0.850
Tb4 Tb 0.239 0.478 0.740
Tc1 Tc 0.176 0.352 0.013
Tc2 Tc 0.824 0.648 0.987
Tb5 Tb 0.068 0.136 0.209
Te2 Te 0.377 0.753 0.529
Tb6 Tb 0.932 0.864 0.791
# Calculated total energy in eV per atom: -5.96
# Space-group type: C2/m
# Polymorph energy (0 for the lowest one) in meV/atom: 52.5
# Energy relative to the elements, uncorrected in eV/atom: -0.48

> Number 2 is which compound?

Tb3TcTe